A relaxed structure of KSmSiS4, computed with PBE-GGA.

The space group is P2_1/m (No. 11) and the conventional cell measures 6.5044, 6.6247 and 8.7718 Å, with angles of 90.00, 107.09 and 90.00 degrees. Symmetry generates all atoms from K at (0.2283, 0.2500, 0.4342), Sm at (0.2717, 0.2500, 0.9491), Si at (0.2783, 0.7500, 0.1761), S at (0.0826, 0.7500, 0.3299), S at (0.0898, 0.7500, 0.9322) and S at (0.4957, 0.0003, 0.2150).

As for the energy relative to the elements, uncorrected: -9.99 eV/f.u. As for the magnetic moment: 0.0 μB per formula unit.